The following is a PBE calculation of a relaxed structure of BaSrOs2, from Alexandria via LeMat-Bulk.

## Properties
E_form	1448	meV per atom
Fermi-level density of states	0.98	states/eV/atom

The structure in POSCAR format:
```
BaSrOs2
1.0
1.569 0.906 10.486
-1.569 0.906 10.486
0.000 -1.812 10.486
Ba Sr Os
1 1 2
direct
0.000 0.000 0.000 Ba
0.500 0.500 0.500 Sr
0.246 0.246 0.246 Os
0.754 0.754 0.754 Os
```